Here is a geometry-optimized KCa2W structure from Alexandria via LeMat-Bulk. Energies are from PBE-GGA.

Lattice parameters (Å, degrees): 6.351 6.351 6.351 133.62 133.62 67.68
Fractional coordinates of all 4 atoms:
1 Ca 0.250 0.750 0.500
2 W 0.750 0.250 0.500
3 Ca 0.000 0.000 0.000
4 K 0.500 0.500 0.000

energy: -3.240 eV/atom
offset from the most stable computed form: 1.807 eV per formula unit
DOS(E_F): 3.02 states/eV/f.u.
ΔE_f: 29.375 kcal/mol of atoms


Here is a geometry-optimized KCaW2 structure from Alexandria via LeMat-Bulk. Energies are from PBE-GGA.

Lattice parameters (Å, degrees): 2.766 2.766 11.402 90.00 90.00 90.00
Fractional coordinates of all 4 atoms:
1 Ca 0.500 0.500 0.250
2 K 0.500 0.500 0.750
3 W 0.000 0.000 0.478
4 W 0.000 0.000 0.022

energy: -5.952 eV/atom
offset from the most stable computed form: 1.508 eV per formula unit
DOS(E_F): 5.93 states/eV/f.u.
ΔE_f: 29.975 kcal/mol of atoms


Here is a geometry-optimized KCaW2 structure from Alexandria via LeMat-Bulk. Energies are from PBE-GGA.

Lattice parameters (Å, degrees): 11.788 11.788 11.788 14.27 14.27 14.27
Fractional coordinates of all 4 atoms:
1 W 0.506 0.506 0.506
2 Ca 0.250 0.250 0.250
3 W 0.994 0.994 0.994
4 K 0.750 0.750 0.750

energy: -5.909 eV/atom
offset from the most stable computed form: 1.677 eV per formula unit
DOS(E_F): 6.25 states/eV/f.u.
ΔE_f: 30.946 kcal/mol of atoms


Here is a geometry-optimized KCaW2 structure from Alexandria via LeMat-Bulk. Energies are from PBE-GGA.

Lattice parameters (Å, degrees): 6.568 6.568 6.568 150.15 128.01 61.11
Fractional coordinates of all 4 atoms:
1 Ca 0.511 0.511 0.000
2 W 0.806 0.306 0.500
3 W 0.956 0.956 0.000
4 K 0.226 0.726 0.500

energy: -6.054 eV/atom
offset from the most stable computed form: 1.098 eV per formula unit
DOS(E_F): 4.96 states/eV/f.u.
ΔE_f: 27.610 kcal/mol of atoms


Here is a geometry-optimized KCaW2 structure from Alexandria via LeMat-Bulk. Energies are from PBE-GGA.

Lattice parameters (Å, degrees): 3.075 3.075 11.347 90.00 90.00 113.47
Fractional coordinates of all 4 atoms:
1 Ca 0.000 0.000 0.448
2 W 0.000 0.000 0.053
3 K 0.500 0.500 0.781
4 W 0.500 0.500 0.218

energy: -6.329 eV/atom
offset from the most stable computed form: 0.000 eV per formula unit
DOS(E_F): 3.23 states/eV/f.u.
ΔE_f: 21.279 kcal/mol of atoms


Here is a geometry-optimized K2CaY structure from Alexandria via LeMat-Bulk. Energies are from PBE-GGA.

Lattice parameters (Å, degrees): 6.846 5.270 5.270 90.00 90.00 90.00
Fractional coordinates of all 4 atoms:
1 K 0.000 0.500 0.500
2 Y 0.500 0.500 0.000
3 K 0.000 0.000 0.000
4 Ca 0.500 0.000 0.500

energy: -2.200 eV/atom
offset from the most stable computed form: 0.865 eV per formula unit
DOS(E_F): 4.43 states/eV/f.u.
ΔE_f: 10.733 kcal/mol of atoms


Here is a geometry-optimized K2CaY structure from Alexandria via LeMat-Bulk. Energies are from PBE-GGA.

Lattice parameters (Å, degrees): 10.414 10.414 8.237 50.79 50.79 90.00
Fractional coordinates of all 8 atoms:
1 K 0.875 0.872 0.750
2 Ca 0.500 0.500 0.000
3 K 0.128 0.625 0.250
4 Y 0.000 0.000 0.000
5 Y 0.750 0.250 0.500
6 K 0.622 0.125 0.250
7 Ca 0.250 0.750 0.500
8 K 0.375 0.378 0.750

energy: -1.972 eV/atom
offset from the most stable computed form: 1.778 eV per formula unit
DOS(E_F): 6.78 states/eV/f.u.
ΔE_f: 15.996 kcal/mol of atoms


Here is a geometry-optimized KCa2Y2 structure from Alexandria via LeMat-Bulk. Energies are from PBE-GGA.

Lattice parameters (Å, degrees): 10.664 10.664 3.767 90.00 90.00 90.00
Fractional coordinates of all 10 atoms:
1 Ca 0.824 0.324 0.500
2 Y 0.889 0.611 0.000
3 Y 0.389 0.889 0.000
4 K 0.000 0.000 0.000
5 Y 0.111 0.389 0.000
6 Ca 0.324 0.176 0.500
7 Ca 0.176 0.676 0.500
8 K 0.500 0.500 0.000
9 Ca 0.676 0.824 0.500
10 Y 0.611 0.111 0.000

energy: -3.289 eV/atom
offset from the most stable computed form: 0.000 eV per formula unit
DOS(E_F): 4.88 states/eV/f.u.
ΔE_f: 7.311 kcal/mol of atoms


Copy entry 5 word for word.
Here is a geometry-optimized KCaW2 structure from Alexandria via LeMat-Bulk. Energies are from PBE-GGA.

Lattice parameters (Å, degrees): 3.075 3.075 11.347 90.00 90.00 113.47
Fractional coordinates of all 4 atoms:
1 Ca 0.000 0.000 0.448
2 W 0.000 0.000 0.053
3 K 0.500 0.500 0.781
4 W 0.500 0.500 0.218

energy: -6.329 eV/atom
offset from the most stable computed form: 0.000 eV per formula unit
DOS(E_F): 3.23 states/eV/f.u.
ΔE_f: 21.279 kcal/mol of atoms


> The lowest energy belongs to which entry?

number 5